Material: UTe2I
Method: DFT, PBE
State: relaxed

Cell: 8.317 8.317 8.317 Å, 34.94 34.94 34.94°
Atoms (fractional coordinates):
U 0.000 0.000 0.000
Te 0.394 0.394 0.394
Te 0.634 0.634 0.634
I 0.872 0.872 0.872

Output
**DOS at the Fermi energy**: 1.386 states/eV per atom
**Spin magnetization**: 0.97 μB/cell
**Distance to the lowest polymorph of the same formula**: 0 meV/atom
**Space group**: R3m
**Raw formation energy**: -156 kJ/mol of formula units

=====

Material: UTeI
Method: DFT, PBE
State: relaxed

Cell: 5.256 5.256 3.871 Å, 90.00 90.00 120.00°
Atoms (fractional coordinates):
U 0.000 0.000 0.000
Te 0.667 0.333 0.502
I 0.333 0.667 0.006

Output
**DOS at the Fermi energy**: 2.732 states/eV per atom
**Spin magnetization**: 3.02 μB/cell
**Distance to the lowest polymorph of the same formula**: 435 meV/atom
**Space group**: P3m1
**Raw formation energy**: -74 kJ/mol of formula units